Computed, not measured: a relaxed structure of Th4GeOsSe2 at the PBE level of DFT.

VASP energy: -61.2 eV per cell
SG: P2/m (10)
E_form (uncorrected): -1.08 eV/atom

Unit cell a=4.1712 b=7.4699 c=7.4496 alpha=108.78 beta=90.00 gamma=90.00
Last column: nearest neighbours and their distance in Å.
Atoms (fractional coordinates):
Th  0.5000  0.7448  0.7665  1 Os 2.90, 2 Ge 2.98, 3 Se 3.05-3.16
Os  0.5000  0.5000  0.0000  6 Th 2.85-2.90
Th  0.0000  0.7260  0.2197  2 Os 2.85, 1 Ge 3.00, 3 Se 3.08-3.19
Se  0.0000  0.5000  0.5000  6 Th 3.05-3.08
Th  0.0000  0.2740  0.7803  2 Os 2.85, 1 Ge 3.00, 3 Se 3.08-3.19
Th  0.5000  0.2552  0.2335  1 Os 2.90, 2 Ge 2.98, 3 Se 3.05-3.16
Se  0.5000  0.0000  0.5000  6 Th 3.16-3.19
Ge  0.0000  0.0000  0.0000  6 Th 2.98-3.00